Density functional theory data (PBE) for a relaxed Ac2TbZnTe5 crystal.

Calculated values
- Symmetry: No. 36
- Crystal system: orthorhombic
- Total magnetic moment: 0.000 μB/atom
- Formation energy (no corrections): -1291 meV/atom

abc: 10.0870 10.0870 13.4846
angles: 90.00 90.00 154.31
Element x y z (fractional)
Ac: 0.1160 0.8840 0.5000
Ac: 0.1292 0.8708 0.1245
Ac: 0.8708 0.1292 0.6245
Ac: 0.8840 0.1160 0.0000
Tb: 0.1968 0.8032 0.8265
Tb: 0.8032 0.1968 0.3265
Zn: 0.4382 0.5618 0.2661
Zn: 0.5618 0.4382 0.7661
Te: 0.0441 0.9559 0.8718
Te: 0.2891 0.7109 0.4838
Te: 0.3115 0.6885 0.1661
Te: 0.3547 0.6453 0.8155
Te: 0.4988 0.5012 0.5929
Te: 0.5012 0.4988 0.0929
Te: 0.6453 0.3547 0.3155
Te: 0.6885 0.3115 0.6661
Te: 0.7109 0.2891 0.9838
Te: 0.9559 0.0441 0.3718


Density functional theory data (PBE) for a relaxed PdRu3Se crystal.

Calculated values
- Symmetry: No. 221
- Offset from the most stable computed form: 4.45 eV per formula unit
- Crystal system: cubic
- Total magnetic moment: 1.489 μB/atom
- Formation energy (no corrections): 1979 meV/atom

abc: 4.8000 4.8000 4.8000
angles: 90.00 90.00 90.00
Element x y z (fractional)
Pd: 0.0000 0.0000 0.0000
Ru: 0.0000 0.0000 0.5000
Ru: 0.0000 0.5000 0.0000
Ru: 0.5000 0.0000 0.0000
Se: 0.5000 0.5000 0.5000


Density functional theory data (PBE) for a relaxed Co2Sb2C crystal.

Calculated values
- Symmetry: No. 139
- Offset from the most stable computed form: 0.00 eV per formula unit
- Crystal system: tetragonal
- Total magnetic moment: 0.465 μB/atom
- Formation energy (no corrections): 1121 meV/atom

abc: 7.6441 7.6441 7.6441
angles: 155.06 155.06 35.57
Element x y z (fractional)
Co: 0.2500 0.7500 0.5000
Co: 0.7500 0.2500 0.5000
Sb: 0.1030 0.1030 0.0000
Sb: 0.8970 0.8970 0.0000
C: 0.5000 0.5000 0.0000


Density functional theory data (PBE) for a relaxed YSiTe2 crystal.

Calculated values
- Symmetry: No. 160
- Crystal system: trigonal
- Total magnetic moment: 0.000 μB/atom
- Formation energy (no corrections): -441 meV/atom

abc: 8.0337 8.0337 8.0337
angles: 31.25 31.25 31.25
Element x y z (fractional)
Y: 0.0000 0.0000 0.0000
Si: 0.2558 0.2558 0.2558
Te: 0.5445 0.5445 0.5445
Te: 0.7412 0.7412 0.7412


Density functional theory data (PBE) for a relaxed ThZn5CuPd2 crystal.

Calculated values
- Symmetry: No. 123
- Calculated formation energy: -0.070 eV/atom
- Crystal system: tetragonal
- Total magnetic moment: 0.000 μB/atom

abc: 4.8052 4.8052 7.3427
angles: 90.00 90.00 90.00
Element x y z (fractional)
Th: 0.0000 0.0000 0.0000
Zn: 0.0000 0.5000 0.3073
Zn: 0.0000 0.5000 0.6927
Zn: 0.5000 0.0000 0.3073
Zn: 0.5000 0.0000 0.6927
Zn: 0.5000 0.5000 0.0000
Cu: 0.0000 0.0000 0.5000
Pd: 0.5000 0.5000 0.3211
Pd: 0.5000 0.5000 0.6789


Density functional theory data (PBE) for a relaxed Li2CoAg crystal.

Calculated values
- Symmetry: No. 12
- Calculated formation energy: 0.153 eV/atom
- Crystal system: monoclinic
- Total magnetic moment: 0.284 μB/atom

abc: 5.1534 5.1534 2.6388
angles: 102.51 102.51 117.34
Element x y z (fractional)
Li: 0.0000 0.5000 0.0000
Li: 0.5000 0.0000 0.0000
Co: 0.0000 0.0000 0.5000
Ag: 0.5000 0.5000 0.5000